(1)
Here is an optimized crystal structure of MnTcP from Alexandria via LeMat-Bulk. Energies are from PBE-GGA.

extended XYZ file:
```
3
Lattice="2.761 0.000 0.000 -1.380 2.391 0.000 0.000 0.000 5.722" Properties=species:S:1:pos:R:3 pbc="T T T"
Mn 0.000 0.000 0.000
Tc 1.380 0.797 3.655
P 0.000 1.594 1.712
```

Its mass density is 8.1 g/cm³. As for the space-group type: No. 156. As for the energy relative to the elements: -0.062 eV/atom. As for the calculated volume: 12.6 Å³ per atom.



(2)
Here is an optimized crystal structure of Li2MnCd from Alexandria via LeMat-Bulk. Energies are from PBE-GGA.

extended XYZ file:
```
4
Lattice="4.835 -1.460 0.000 4.835 1.460 0.000 -0.855 0.000 4.887" Properties=species:S:1:pos:R:3 pbc="T T T"
Li 2.207 0.000 1.193
Li 6.608 0.000 3.695
Mn 4.835 0.000 0.000
Cd -0.428 0.000 2.444
```

Its mass density is 4.4 g/cm³. As for the space-group type: No. 12. As for the energy relative to the elements: 0.113 eV/atom. As for the calculated volume: 17.2 Å³ per atom.



> Number 1 is which compound?

MnTcP